Entry 1:
Below is a geometry-optimized YZn3Se structure, with properties calculated at the PBE level.

Cell lengths 4.9281, 4.9281, 4.9281 Å; angles 90.00, 90.00, 90.00 degrees
Last column: nearest neighbours and their distance in Å.
Fractional coordinates of all 5 atoms:
Y: 0.0000 0.0000 0.0000  12 Zn 3.48
Zn: 0.0000 0.5000 0.5000  2 Se 2.46
Zn: 0.5000 0.0000 0.5000  2 Se 2.46
Zn: 0.5000 0.5000 0.0000  2 Se 2.46
Se: 0.5000 0.5000 0.5000  6 Zn 2.46

Results
crystal system: cubic
energy above the most stable polymorph in this dataset: 0.000 eV per atom
formation energy without anion corrections: 0.30 eV per atom
electronic total energy: -12.27 eV for the cell shown

Entry 2:
Below is a geometry-optimized Na6InAu structure, with properties calculated at the PBE level.

Cell lengths 5.3674, 6.5300, 6.5300 Å; angles 90.39, 90.00, 90.00 degrees
Last column: nearest neighbours and their distance in Å.
Fractional coordinates of all 8 atoms:
Na: 0.0000 0.0000 0.0000  4 Na 3.12-3.17, 2 Au 3.14, 1 In 3.48
Na: 0.0000 0.5262 0.8890  5 Na 3.17-3.52, 2 Au 3.34, 2 In 3.34-3.47
Na: 0.0000 0.8890 0.5262  5 Na 3.17-3.52, 2 Au 3.34, 2 In 3.34-3.47
Na: 0.5000 0.1733 0.1733  6 Na 3.12-3.40, 1 Au 3.22, 2 In 3.28
Na: 0.5000 0.2801 0.6651  1 Au 3.16, 4 Na 3.28-3.45, 2 In 3.34
Na: 0.5000 0.6651 0.2801  1 Au 3.16, 4 Na 3.28-3.45, 2 In 3.34
In: 0.0000 0.3778 0.3778  11 Na 3.28-3.48
Au: 0.5000 0.8235 0.8235  9 Na 3.14-3.34

Results
crystal system: orthorhombic
DFT formation energy: -0.109 eV/atom
electronic total energy: -14.81 eV for the cell shown

Entry 3:
Below is a geometry-optimized ScGaRe2O structure, with properties calculated at the PBE level.

Cell lengths 4.0095, 4.0095, 4.7609 Å; angles 90.00, 90.00, 90.00 degrees
Last column: nearest neighbours and their distance in Å.
Fractional coordinates of all 5 atoms:
Sc: 0.0000 0.0000 0.0000  4 Ga 2.84, 8 Re 3.11
Ga: 0.5000 0.5000 0.0000  2 O 2.38
Re: 0.0000 0.5000 0.5000  2 O 2.00
Re: 0.5000 0.0000 0.5000  2 O 2.00
O: 0.5000 0.5000 0.5000  4 Re 2.00

Results
crystal system: tetragonal
formation energy without anion corrections: -0.03 eV per atom
electronic total energy: -39.36 eV for the cell shown

Entry 4:
Below is a geometry-optimized PuTiVSn structure, with properties calculated at the PBE level.

Cell lengths 4.7463, 4.7463, 4.7463 Å; angles 60.00, 60.00, 60.00 degrees
Last column: nearest neighbours and their distance in Å.
Fractional coordinates of all 4 atoms:
Pu: 0.0000 0.0000 0.0000  4 Ti 2.91, 4 V 2.91
Ti: 0.2500 0.2500 0.2500  4 Sn 2.91, 4 Pu 2.91
V: 0.7500 0.7500 0.7500  4 Sn 2.91, 4 Pu 2.91
Sn: 0.5000 0.5000 0.5000  4 Ti 2.91, 4 V 2.91

Results
crystal system: cubic
DFT formation energy: -0.046 eV/atom
electronic total energy: -35.53 eV for the cell shown

Entry 5:
Below is a geometry-optimized CeHo2ScP4 structure, with properties calculated at the PBE level.

Cell lengths 6.8305, 3.9627, 6.8558 Å; angles 90.00, 109.39, 90.00 degrees
Last column: nearest neighbours and their distance in Å.
Fractional coordinates of all 8 atoms:
Ce: 0.0000 0.0000 0.0000  6 P 2.80-2.81
Ho: 0.0000 0.5000 0.5000  6 P 2.84-2.85
Ho: 0.5000 0.0000 0.5000  6 P 2.79
Sc: 0.5000 0.5000 0.0000  6 P 2.74-2.75
P: 0.2570 0.5000 0.2479  1 Sc 2.74, 3 Ho 2.79-2.84, 2 Ce 2.81
P: 0.2593 0.0000 0.7583  2 Sc 2.75, 3 Ho 2.79-2.85, 1 Ce 2.80
P: 0.7407 0.0000 0.2417  2 Sc 2.75, 3 Ho 2.79-2.85, 1 Ce 2.80
P: 0.7430 0.5000 0.7521  1 Sc 2.74, 3 Ho 2.79-2.84, 2 Ce 2.81

Results
crystal system: monoclinic
DFT formation energy: -1.534 eV/atom
electronic total energy: -55.33 eV for the cell shown

Entry 6:
Below is a geometry-optimized KSmI3 structure, with properties calculated at the PBE level.

Cell lengths 6.1630, 6.1630, 6.1630 Å; angles 90.00, 90.00, 90.00 degrees
Last column: nearest neighbours and their distance in Å.
Fractional coordinates of all 5 atoms:
K: 0.0000 0.0000 0.0000  12 I 4.36
Sm: 0.5000 0.5000 0.5000  6 I 3.08
I: 0.0000 0.5000 0.5000  2 Sm 3.08
I: 0.5000 0.0000 0.5000  2 Sm 3.08
I: 0.5000 0.5000 0.0000  2 Sm 3.08

Results
crystal system: cubic
formation energy without anion corrections: -1.18 eV per atom
electronic total energy: -16.39 eV for the cell shown